! LiMg4Ta (PBE, relaxed); values from VASP
&SYSTEM
  ibrav = 0, nat = 6, ntyp = 3
/
ATOMIC_SPECIES
Li 6.94 Li.upf
Mg 24.30 Mg.upf
Ta 180.95 Ta.upf
ATOMIC_POSITIONS crystal
Li 0.000 0.000 0.000
Mg 0.128 0.624 0.624
Mg 0.624 0.128 0.624
Mg 0.624 0.624 0.128
Mg 0.624 0.624 0.624
Ta 0.250 0.250 0.250
CELL_PARAMETERS angstrom
0.000 3.996 3.996
3.996 0.000 3.996
3.996 3.996 0.000
! **ΔH_f (0 K)**: 0.524 eV/atom
! **SG**: F-43m, No. 216
! **Spin magnetization**: 1.6 μB per formula unit